Record 1
# Pm8SiS5 | Alexandria via LeMat-Bulk | PBE-GGA | relaxed
# E (eV for the cell shown): -168.162
# Crystal system: tetragonal
data_Pm8SiS5
_space_group_name_H-M_alt 'I -4'
_space_group_IT_number 82
_cell_length_a 8.6705
_cell_length_b 8.6705
_cell_length_c 8.6314
_cell_angle_alpha 90.00
_cell_angle_beta 90.00
_cell_angle_gamma 90.00
loop_
_space_group_symop_operation_xyz
'x,y,z'
'y,-x,-z'
'-x,-y,z'
'-y,x,-z'
'x+1/2,y+1/2,z+1/2'
'y+1/2,-x+1/2,-z+1/2'
'-x+1/2,-y+1/2,z+1/2'
'-y+1/2,x+1/2,-z+1/2'
loop_
_atom_site_label
_atom_site_type_symbol
_atom_site_fract_x
_atom_site_fract_y
_atom_site_fract_z
_atom_site_occupancy
Pm1 Pm 0.0616 0.1824 0.1886 1
Pm2 Pm 0.0641 0.3160 0.5585 1
Si1 Si 0.0000 0.5000 0.2500 1
S1 S 0.0000 0.0000 0.5000 1
S2 S 0.1286 0.2521 0.8753 1


Record 2
# Dy3Si2AsPt9 | Alexandria via LeMat-Bulk | PBE-GGA | relaxed
# E (eV for the cell shown): -94.396
# Crystal system: trigonal
data_Dy3Si2AsPt9
_space_group_name_H-M_alt 'P -3 m 1'
_space_group_IT_number 164
_space_group_name_Hall '-P 3 2"'
_cell_length_a 6.4579
_cell_length_b 6.4579
_cell_length_c 8.5829
_cell_angle_alpha 90.00
_cell_angle_beta 90.00
_cell_angle_gamma 120.00
loop_
_atom_site_label
_atom_site_type_symbol
_atom_site_fract_x
_atom_site_fract_y
_atom_site_fract_z
_atom_site_occupancy
Dy1 Dy 0.0000 0.0000 0.0000 1
Dy2 Dy 0.3333 0.6667 0.7239 1
Si1 Si 0.3333 0.6667 0.1866 1
As1 As 0.0000 0.0000 0.5000 1
Pt1 Pt 0.0000 0.5000 0.0000 1
Pt2 Pt 0.1438 0.2875 0.2792 1


Record 3
# TcBiIr3 | Alexandria via LeMat-Bulk | PBE-GGA | relaxed
# Crystal system: cubic
# Energy relative to the lowest polymorph listed for this composition (meV/atom): 1113.0
# E_form (eV per formula unit): 12.3
data_TcBiIr3
_space_group_name_H-M_alt 'P m -3 m'
_space_group_IT_number 221
_space_group_name_Hall '-P 4 2 3'
_cell_length_a 4.9432
_cell_length_b 4.9432
_cell_length_c 4.9432
_cell_angle_alpha 90.00
_cell_angle_beta 90.00
_cell_angle_gamma 90.00
loop_
_atom_site_label
_atom_site_type_symbol
_atom_site_fract_x
_atom_site_fract_y
_atom_site_fract_z
_atom_site_occupancy
Tc1 Tc 0.0000 0.0000 0.0000 1
Bi1 Bi 0.5000 0.5000 0.5000 1
Ir1 Ir 0.0000 0.5000 0.5000 1


Record 4
# Pm4Ir2Se | Alexandria via LeMat-Bulk | PBE-GGA | relaxed
# E (eV for the cell shown): -185.978
# Crystal system: tetragonal
data_Pm4Ir2Se
_space_group_name_H-M_alt 'I -4 2 d'
_space_group_IT_number 122
_space_group_name_Hall 'I -4 2bw'
_cell_length_a 8.9874
_cell_length_b 8.9874
_cell_length_c 8.9345
_cell_angle_alpha 90.00
_cell_angle_beta 90.00
_cell_angle_gamma 90.00
loop_
_atom_site_label
_atom_site_type_symbol
_atom_site_fract_x
_atom_site_fract_y
_atom_site_fract_z
_atom_site_occupancy
Pm1 Pm 0.0641 0.1849 0.3261 1
Ir1 Ir 0.1122 0.2500 0.6250 1
Se1 Se 0.0000 0.0000 0.0000 1


Record 5
# SrSc2FePd | Alexandria via LeMat-Bulk | PBE-GGA | relaxed
# Crystal system: tetragonal
# E_form (eV per formula unit): -0.1
data_SrSc2FePd
_space_group_name_H-M_alt 'P 4/m m m'
_space_group_IT_number 123
_space_group_name_Hall '-P 4 2'
_cell_length_a 4.7104
_cell_length_b 4.7104
_cell_length_c 5.1866
_cell_angle_alpha 90.00
_cell_angle_beta 90.00
_cell_angle_gamma 90.00
loop_
_atom_site_label
_atom_site_type_symbol
_atom_site_fract_x
_atom_site_fract_y
_atom_site_fract_z
_atom_site_occupancy
Sr1 Sr 0.0000 0.0000 0.0000 1
Sc1 Sc 0.0000 0.5000 0.5000 1
Fe1 Fe 0.5000 0.5000 0.5000 1
Pd1 Pd 0.5000 0.5000 0.0000 1


Record 6
# Gd2PaIn | Alexandria via LeMat-Bulk | PBE-GGA | relaxed
# Crystal system: cubic
# Energy relative to the lowest polymorph listed for this composition (meV/atom): 232.8
# E_form (eV per formula unit): 0.5
data_Gd2PaIn
_space_group_name_H-M_alt 'F m -3 m'
_space_group_IT_number 225
_space_group_name_Hall '-F 4 2 3'
_cell_length_a 7.6255
_cell_length_b 7.6255
_cell_length_c 7.6255
_cell_angle_alpha 90.00
_cell_angle_beta 90.00
_cell_angle_gamma 90.00
loop_
_atom_site_label
_atom_site_type_symbol
_atom_site_fract_x
_atom_site_fract_y
_atom_site_fract_z
_atom_site_occupancy
Gd1 Gd 0.2500 0.2500 0.2500 1
Pa1 Pa 0.0000 0.0000 0.0000 1
In1 In 0.0000 0.0000 0.5000 1


Record 7
# AcTmCu10 | Alexandria via LeMat-Bulk | PBE-GGA | relaxed
# Crystal system: orthorhombic
# E_form (eV per formula unit): -1.9
data_AcTmCu10
_space_group_name_H-M_alt 'P m m m'
_space_group_IT_number 47
_cell_length_a 4.1081
_cell_length_b 5.1586
_cell_length_c 8.8900
_cell_angle_alpha 90.00
_cell_angle_beta 90.00
_cell_angle_gamma 90.00
loop_
_space_group_symop_operation_xyz
'x,y,z'
'-x,-y,-z'
'-x,-y,z'
'x,y,-z'
'x,-y,-z'
'-x,y,z'
'-x,y,-z'
'x,-y,z'
loop_
_atom_site_label
_atom_site_type_symbol
_atom_site_fract_x
_atom_site_fract_y
_atom_site_fract_z
_atom_site_occupancy
Ac1 Ac 0.0000 0.0000 0.0000 1
Tm1 Tm 0.0000 0.5000 0.5000 1
Cu1 Cu 0.0000 0.0000 0.3441 1
Cu2 Cu 0.0000 0.5000 0.1804 1
Cu3 Cu 0.5000 0.0000 0.5000 1
Cu4 Cu 0.5000 0.2565 0.2615 1
Cu5 Cu 0.5000 0.5000 0.0000 1


Record 8
# In7Hg12Sb | Alexandria via LeMat-Bulk | PBE-GGA | relaxed
# E (eV for the cell shown): -79.359
# Crystal system: trigonal
data_In7Hg12Sb
_space_group_name_H-M_alt 'R -3'
_space_group_IT_number 148
_space_group_name_Hall '-R 3'
_cell_length_a 15.4084
_cell_length_b 15.4084
_cell_length_c 8.2186
_cell_angle_alpha 90.00
_cell_angle_beta 90.00
_cell_angle_gamma 120.00
loop_
_atom_site_label
_atom_site_type_symbol
_atom_site_fract_x
_atom_site_fract_y
_atom_site_fract_z
_atom_site_occupancy
In1 In 0.0000 0.0000 0.0000 1
In2 In 0.0527 0.8759 0.2705 1
Hg1 Hg 0.0168 0.2757 0.4503 1
Hg2 Hg 0.0734 0.8314 0.8955 1
Sb1 Sb 0.0000 0.0000 0.5000 1


Record 9
# MnBeSb2 | Alexandria via LeMat-Bulk | PBE-GGA | relaxed
# E (eV for the cell shown): -38.247
# Crystal system: orthorhombic
data_MnBeSb2
_space_group_name_H-M_alt 'C m m m'
_space_group_IT_number 65
_space_group_name_Hall '-C 2 2'
_cell_length_a 7.0414
_cell_length_b 7.0578
_cell_length_c 3.0730
_cell_angle_alpha 90.00
_cell_angle_beta 90.00
_cell_angle_gamma 90.00
loop_
_atom_site_label
_atom_site_type_symbol
_atom_site_fract_x
_atom_site_fract_y
_atom_site_fract_z
_atom_site_occupancy
Mn1 Mn 0.0000 0.0000 0.0000 1
Be1 Be 0.0000 0.5000 0.0000 1
Sb1 Sb 0.2500 0.2500 0.5000 1


Record 10
# KNp2RuO8 | Alexandria via LeMat-Bulk | PBE-GGA | relaxed
# E (eV for the cell shown): -101.506
# Crystal system: triclinic
data_KNp2RuO8
_space_group_name_H-M_alt 'P -1'
_space_group_IT_number 2
_cell_length_a 4.9943
_cell_length_b 4.9968
_cell_length_c 7.0025
_cell_angle_alpha 87.06
_cell_angle_beta 87.03
_cell_angle_gamma 86.75
loop_
_space_group_symop_operation_xyz
'x,y,z'
'-x,-y,-z'
loop_
_atom_site_label
_atom_site_type_symbol
_atom_site_fract_x
_atom_site_fract_y
_atom_site_fract_z
_atom_site_occupancy
K1 K 0.0000 0.0000 0.0000 1
Np1 Np 0.4841 0.4841 0.2575 1
Ru1 Ru 0.0000 0.0000 0.5000 1
O1 O 0.2076 0.7816 0.6970 1
O2 O 0.2195 0.7934 0.3029 1
O3 O 0.2899 0.2910 0.4846 1
O4 O 0.3373 0.3392 0.9719 1


Record 11
# Zn2SeBr | Alexandria via LeMat-Bulk | PBE-GGA | relaxed
# Crystal system: tetragonal
# Energy relative to the lowest polymorph listed for this composition (meV/atom): 27.8
data_Zn2SeBr
_space_group_name_H-M_alt 'I -4 2 d'
_space_group_IT_number 122
_space_group_name_Hall 'I -4 2bw'
_cell_length_a 6.0891
_cell_length_b 6.0891
_cell_length_c 12.2683
_cell_angle_alpha 90.00
_cell_angle_beta 90.00
_cell_angle_gamma 90.00
loop_
_atom_site_label
_atom_site_type_symbol
_atom_site_fract_x
_atom_site_fract_y
_atom_site_fract_z
_atom_site_occupancy
Zn1 Zn 0.2146 0.2500 0.1250 1
Se1 Se 0.0000 0.0000 0.0000 1
Br1 Br 0.0000 0.0000 0.5000 1


Record 12
# CaPS2Cl | Alexandria via LeMat-Bulk | PBE-GGA | relaxed
# Crystal system: tetragonal
# Energy relative to the lowest polymorph listed for this composition (meV/atom): 1005.1
data_CaPS2Cl
_space_group_name_H-M_alt 'P 4/m m m'
_space_group_IT_number 123
_space_group_name_Hall '-P 4 2'
_cell_length_a 5.3304
_cell_length_b 5.3304
_cell_length_c 4.9654
_cell_angle_alpha 90.00
_cell_angle_beta 90.00
_cell_angle_gamma 90.00
loop_
_atom_site_label
_atom_site_type_symbol
_atom_site_fract_x
_atom_site_fract_y
_atom_site_fract_z
_atom_site_occupancy
Ca1 Ca 0.0000 0.0000 0.0000 1
P1 P 0.5000 0.5000 0.5000 1
S1 S 0.0000 0.5000 0.0000 1
Cl1 Cl 0.0000 0.0000 0.5000 1